Entry 1:
Compound: KNa2MgOs
Source: Alexandria
Functional: SCAN
Structure: PBEsol geometry

a = 5.592 Å, b = 5.592 Å, c = 5.842 Å
α = 90.00°, β = 90.00°, γ = 90.00°
Element x y z (fractional)
K  0.000  0.000  0.000
Na  0.000  0.500  0.500
Na  0.500  0.000  0.500
Mg  0.500  0.500  0.000
Os  0.000  0.000  0.500

Results
- ρ: 2.7 Mg/m³
- Space-group type: No. 123
- ΔH_f (0 K): 1268 meV per atom


Entry 2:
Compound: K2NaMgSb
Source: Alexandria
Functional: SCAN
Structure: PBEsol geometry

a = 6.190 Å, b = 6.190 Å, c = 5.652 Å
α = 90.00°, β = 90.00°, γ = 90.00°
Element x y z (fractional)
K  0.000  0.500  0.000
K  0.500  0.000  0.000
Na  0.000  0.000  0.500
Mg  0.000  0.000  0.000
Sb  0.500  0.500  0.500

Results
- Formation energy from raw total energies: 0.38 eV per atom
- ρ: 1.9 Mg/m³
- Space-group type: No. 123


Entry 3:
Compound: KNa2MgTa
Source: Alexandria
Functional: SCAN
Structure: PBEsol geometry

a = 5.805 Å, b = 5.805 Å, c = 5.536 Å
α = 90.00°, β = 90.00°, γ = 90.00°
Element x y z (fractional)
K  0.000  0.000  0.000
Na  0.000  0.500  0.500
Na  0.500  0.000  0.500
Mg  0.500  0.500  0.500
Ta  0.500  0.500  0.000

Results
- ρ: 2.6 Mg/m³
- Space-group type: No. 123
- ΔH_f (0 K): 1123 meV per atom


Entry 4:
Compound: KMg6Nb
Source: Alexandria
Functional: SCAN
Structure: PBEsol geometry

a = 6.562 Å, b = 6.562 Å, c = 4.450 Å
α = 90.00°, β = 90.00°, γ = 90.00°
Element x y z (fractional)
K  0.000  0.000  0.000
Mg  0.000  0.500  0.000
Mg  0.280  0.280  0.500
Mg  0.280  0.720  0.500
Mg  0.500  0.000  0.000
Mg  0.720  0.280  0.500
Mg  0.720  0.720  0.500
Nb  0.500  0.500  0.000

Results
- ρ: 2.4 Mg/m³
- Space-group type: No. 123
- ΔH_f (0 K): 284 meV per atom


Entry 5:
Compound: KMgNbRu2
Source: Alexandria
Functional: SCAN
Structure: PBEsol geometry

a = 4.553 Å, b = 4.553 Å, c = 4.491 Å
α = 90.00°, β = 90.00°, γ = 90.00°
Element x y z (fractional)
K  0.000  0.000  0.000
Mg  0.500  0.500  0.500
Nb  0.000  0.000  0.500
Ru  0.000  0.500  0.000
Ru  0.500  0.000  0.000

Results
- ρ: 6.4 Mg/m³
- Space-group type: No. 123
- ΔH_f (0 K): 2594 meV per atom


Entry 6:
Compound: KMg2Ni
Source: Alexandria
Functional: SCAN
Structure: PBEsol geometry

a = 3.458 Å, b = 3.458 Å, c = 8.193 Å
α = 90.00°, β = 90.00°, γ = 90.00°
Element x y z (fractional)
K  0.000  0.000  0.000
Mg  0.000  0.000  0.602
Mg  0.500  0.500  0.371
Ni  0.500  0.500  0.688

Results
- ρ: 2.5 Mg/m³
- Space-group type: No. 99
- Distance to the lowest polymorph of the same formula: 0 meV per atom
- ΔH_f (0 K): 245 meV per atom


Entry 7:
Compound: K3MgNi
Source: Alexandria
Functional: SCAN
Structure: PBEsol geometry

a = 6.529 Å, b = 6.529 Å, c = 6.529 Å
α = 90.00°, β = 90.00°, γ = 90.00°
Element x y z (fractional)
K  0.000  0.000  0.500
K  0.000  0.500  0.000
K  0.500  0.000  0.000
Mg  0.000  0.000  0.000
Ni  0.500  0.500  0.500

Results
- ρ: 1.2 Mg/m³
- Space-group type: No. 221
- ΔH_f (0 K): 1036 meV per atom


Entry 8:
Compound: KMg2Ni
Source: Alexandria
Functional: SCAN
Structure: PBEsol geometry

a = 10.227 Å, b = 10.227 Å, c = 10.227 Å
α = 18.47°, β = 18.47°, γ = 18.47°
Element x y z (fractional)
K  0.000  0.000  0.000
Mg  0.224  0.224  0.224
Mg  0.776  0.776  0.776
Ni  0.500  0.500  0.500

Results
- ρ: 2.6 Mg/m³
- Space-group type: No. 166
- Distance to the lowest polymorph of the same formula: 96 meV per atom
- ΔH_f (0 K): 341 meV per atom


Entry 9:
Compound: KMgNi2
Source: Alexandria
Functional: SCAN
Structure: PBEsol geometry

a = 4.561 Å, b = 4.561 Å, c = 6.755 Å
α = 95.61°, β = 95.61°, γ = 34.96°
Element x y z (fractional)
K  0.000  0.000  0.000
Mg  0.500  0.500  0.500
Ni  0.235  0.235  0.637
Ni  0.765  0.765  0.363

Results
- ρ: 3.7 Mg/m³
- Space-group type: No. 12
- ΔH_f (0 K): 431 meV per atom


Entry 10:
Compound: KY2MgNi
Source: Alexandria
Functional: SCAN
Structure: PBEsol geometry

a = 5.630 Å, b = 5.630 Å, c = 5.603 Å
α = 90.00°, β = 90.00°, γ = 90.00°
Element x y z (fractional)
K  0.000  0.000  0.000
Y  0.000  0.500  0.500
Y  0.500  0.000  0.500
Mg  0.000  0.000  0.500
Ni  0.500  0.500  0.000

Results
- ρ: 2.8 Mg/m³
- Space-group type: No. 123
- ΔH_f (0 K): 1269 meV per atom


Entry 11:
Compound: K2Mg2O3
Source: Alexandria
Functional: SCAN
Structure: PBEsol geometry

a = 5.885 Å, b = 6.216 Å, c = 6.309 Å
α = 90.00°, β = 114.14°, γ = 90.00°
Element x y z (fractional)
K  0.180  0.131  0.428
K  0.180  0.369  0.928
K  0.820  0.631  0.072
K  0.820  0.869  0.572
Mg  0.337  0.608  0.575
Mg  0.337  0.892  0.075
Mg  0.663  0.108  0.925
Mg  0.663  0.392  0.425
O  0.000  0.000  0.000
O  0.000  0.500  0.500
O  0.416  0.641  0.293
O  0.416  0.859  0.793
O  0.584  0.141  0.207
O  0.584  0.359  0.707

Results
- Formation energy from raw total energies: -2.22 eV per atom
- ρ: 2.8 Mg/m³
- Space-group type: No. 14


Entry 12:
Compound: KMg6P7O24
Source: Alexandria
Functional: SCAN
Structure: PBEsol geometry

a = 5.247 Å, b = 26.338 Å, c = 6.409 Å
α = 90.00°, β = 107.36°, γ = 90.00°
Element x y z (fractional)
K  0.225  0.250  0.117
K  0.775  0.750  0.883
Mg  0.298  0.097  0.406
Mg  0.298  0.403  0.406
Mg  0.308  0.546  0.814
Mg  0.308  0.954  0.814
Mg  0.375  0.684  0.236
Mg  0.375  0.816  0.236
Mg  0.625  0.184  0.764
Mg  0.625  0.316  0.764
Mg  0.692  0.046  0.186
Mg  0.692  0.454  0.186
Mg  0.702  0.597  0.594
Mg  0.702  0.903  0.594
P  0.047  0.250  0.585
P  0.191  0.110  0.875
P  0.191  0.390  0.875
P  0.211  0.524  0.298
P  0.211  0.976  0.298
P  0.248  0.666  0.706
P  0.248  0.834  0.706
P  0.752  0.166  0.294
P  0.752  0.334  0.294
P  0.789  0.024  0.702
P  0.789  0.476  0.702
P  0.809  0.610  0.125
P  0.809  0.890  0.125
P  0.953  0.750  0.415
O  0.005  0.203  0.427
O  0.005  0.297  0.427
O  0.014  0.650  0.128
O  0.014  0.850  0.128
O  0.054  0.058  0.782
O  0.054  0.442  0.782
O  0.089  0.028  0.326
O  0.089  0.472  0.326
O  0.100  0.617  0.714
O  0.100  0.883  0.714
O  0.155  0.750  0.288
O  0.341  0.250  0.710
O  0.358  0.523  0.125
O  0.358  0.977  0.125
O  0.359  0.123  0.722
O  0.359  0.377  0.722
O  0.367  0.693  0.922
O  0.367  0.807  0.922
O  0.368  0.096  0.105
O  0.368  0.404  0.105
O  0.378  0.548  0.514
O  0.378  0.952  0.514
O  0.437  0.665  0.564
O  0.437  0.835  0.564
O  0.563  0.165  0.436
O  0.563  0.335  0.436
O  0.622  0.048  0.486
O  0.622  0.452  0.486
O  0.632  0.596  0.895
O  0.632  0.904  0.895
O  0.633  0.193  0.078
O  0.633  0.307  0.078
O  0.641  0.623  0.278
O  0.641  0.877  0.278
O  0.642  0.023  0.875
O  0.642  0.477  0.875
O  0.659  0.750  0.290
O  0.845  0.250  0.712
O  0.900  0.117  0.286
O  0.900  0.383  0.286
O  0.911  0.528  0.674
O  0.911  0.972  0.674
O  0.946  0.558  0.218
O  0.946  0.942  0.218
O  0.986  0.150  0.872
O  0.986  0.350  0.872
O  0.995  0.703  0.573
O  0.995  0.797  0.573

Results
- Formation energy from raw total energies: -2.81 eV per atom
- ρ: 3.1 Mg/m³
- Space-group type: No. 11


Entry 13:
Compound: KMg4P3O12
Source: Alexandria
Functional: SCAN
Structure: PBEsol geometry

a = 9.586 Å, b = 16.394 Å, c = 6.173 Å
α = 90.00°, β = 90.00°, γ = 90.00°
Element x y z (fractional)
K  0.199  0.036  0.000
K  0.301  0.536  0.500
K  0.699  0.464  0.500
K  0.801  0.964  0.000
Mg  0.017  0.142  0.500
Mg  0.038  0.591  0.000
Mg  0.249  0.298  0.253
Mg  0.249  0.298  0.747
Mg  0.251  0.798  0.247
Mg  0.251  0.798  0.753
Mg  0.462  0.091  0.500
Mg  0.483  0.642  0.000
Mg  0.517  0.358  0.000
Mg  0.538  0.909  0.500
Mg  0.749  0.202  0.247
Mg  0.749  0.202  0.753
Mg  0.751  0.702  0.253
Mg  0.751  0.702  0.747
Mg  0.962  0.409  0.000
Mg  0.983  0.858  0.500
P  0.043  0.222  0.000
P  0.047  0.666  0.500
P  0.209  0.964  0.500
P  0.291  0.464  0.000
P  0.453  0.166  0.000
P  0.457  0.722  0.500
P  0.543  0.278  0.500
P  0.547  0.834  0.000
P  0.709  0.536  0.000
P  0.791  0.036  0.500
P  0.953  0.334  0.500
P  0.957  0.778  0.000
O  0.094  0.622  0.297
O  0.094  0.622  0.703
O  0.100  0.183  0.208
O  0.100  0.183  0.792
O  0.106  0.311  0.000
O  0.115  0.320  0.500
O  0.118  0.755  0.500
O  0.118  0.773  0.000
O  0.132  0.479  0.000
O  0.138  0.046  0.500
O  0.163  0.910  0.302
O  0.163  0.910  0.698
O  0.337  0.410  0.198
O  0.337  0.410  0.802
O  0.362  0.546  0.000
O  0.368  0.979  0.500
O  0.382  0.255  0.000
O  0.382  0.273  0.500
O  0.385  0.820  0.000
O  0.394  0.811  0.500
O  0.400  0.683  0.292
O  0.400  0.683  0.708
O  0.406  0.122  0.203
O  0.406  0.122  0.797
O  0.594  0.878  0.203
O  0.594  0.878  0.797
O  0.600  0.317  0.292
O  0.600  0.317  0.708
O  0.606  0.189  0.500
O  0.615  0.180  0.000
O  0.618  0.727  0.500
O  0.618  0.745  0.000
O  0.632  0.021  0.500
O  0.638  0.454  0.000
O  0.663  0.590  0.198
O  0.663  0.590  0.802
O  0.837  0.090  0.302
O  0.837  0.090  0.698
O  0.862  0.954  0.500
O  0.868  0.521  0.000
O  0.882  0.227  0.000
O  0.882  0.245  0.500
O  0.885  0.680  0.500
O  0.894  0.689  0.000
O  0.900  0.817  0.208
O  0.900  0.817  0.792
O  0.906  0.378  0.297
O  0.906  0.378  0.703

Results
- Formation energy from raw total energies: -2.88 eV per atom
- ρ: 2.9 Mg/m³
- Space-group type: No. 58


Entry 14:
Compound: KMgPO2
Source: Alexandria
Functional: SCAN
Structure: PBEsol geometry

a = 4.411 Å, b = 4.411 Å, c = 5.347 Å
α = 90.00°, β = 90.00°, γ = 90.00°
Element x y z (fractional)
K  0.000  0.000  0.000
Mg  0.500  0.500  0.500
P  0.000  0.000  0.500
O  0.000  0.500  0.000
O  0.500  0.000  0.000

Results
- Formation energy from raw total energies: 0.72 eV per atom
- ρ: 2.0 Mg/m³
- Space-group type: No. 123


Entry 15:
Compound: K2MgP2WO10
Source: Alexandria
Functional: SCAN
Structure: PBEsol geometry

a = 9.164 Å, b = 9.195 Å, c = 10.798 Å
α = 90.33°, β = 90.52°, γ = 90.23°
Element x y z (fractional)
K  0.000  0.000  0.000
K  0.010  0.541  0.357
K  0.147  0.805  0.666
K  0.337  0.309  0.125
K  0.479  0.541  0.837
K  0.495  0.153  0.475
K  0.748  0.812  0.251
K  0.760  0.279  0.742
Mg  0.135  0.433  0.806
Mg  0.355  0.930  0.035
Mg  0.647  0.647  0.543
Mg  0.842  0.161  0.289
P  0.167  0.621  0.060
P  0.167  0.991  0.289
P  0.315  0.119  0.783
P  0.323  0.489  0.552
P  0.656  0.464  0.288
P  0.664  0.120  0.028
P  0.818  0.963  0.537
P  0.829  0.625  0.801
W  0.098  0.198  0.539
W  0.382  0.699  0.301
W  0.609  0.907  0.787
W  0.870  0.416  0.046
O  0.002  0.989  0.271
O  0.040  0.302  0.668
O  0.183  0.781  0.031
O  0.214  0.087  0.403
O  0.221  0.834  0.328
O  0.231  0.518  0.963
O  0.234  0.582  0.190
O  0.242  0.086  0.653
O  0.247  0.040  0.174
O  0.251  0.537  0.672
O  0.252  0.017  0.879
O  0.259  0.336  0.509
O  0.272  0.593  0.445
O  0.308  0.280  0.815
O  0.447  0.798  0.173
O  0.481  0.075  0.756
O  0.488  0.478  0.562
O  0.491  0.515  0.273
O  0.501  0.103  0.042
O  0.501  0.840  0.909
O  0.515  0.756  0.412
O  0.547  0.784  0.671
O  0.658  0.300  0.299
O  0.700  0.288  0.009
O  0.721  0.050  0.905
O  0.729  0.546  0.395
O  0.731  0.016  0.653
O  0.731  0.519  0.167
O  0.745  0.559  0.692
O  0.754  0.039  0.423
O  0.756  0.061  0.135
O  0.767  0.551  0.921
O  0.787  0.792  0.817
O  0.823  0.799  0.525
O  0.935  0.306  0.169
O  0.972  0.260  0.425
O  0.979  0.022  0.564
O  0.981  0.344  0.926
O  0.993  0.612  0.793
O  0.999  0.583  0.079

Results
- Formation energy from raw total energies: -2.60 eV per atom
- ρ: 3.7 Mg/m³
- Space-group type: No. 1